A geometry-optimized Rb2VF6 structure, computed with PBE+U.

a b c (Å): 6.1892 7.3827 7.9115
angles (deg): 90.00 90.00 109.20
Last column: nearest neighbours and their distance in Å.
Fractional positions:
Rb  0.1379  0.3193  0.5623  7 F 2.82-3.08
Rb  0.3621  0.1807  0.0623  7 F 2.82-3.08
Rb  0.6379  0.8193  0.9377  7 F 2.82-3.08
Rb  0.8621  0.6807  0.4377  7 F 2.82-3.08
V  0.5000  0.0000  0.5000  6 F 1.86-1.91
V  0.0000  0.5000  0.0000  6 F 1.86-1.91
F  0.1426  0.7673  0.0261  1 V 1.89
F  0.1171  0.4499  0.2053  1 V 1.86
F  0.2368  0.0216  0.3869  1 V 1.91
F  0.2632  0.4784  0.8869  1 V 1.91
F  0.3829  0.0501  0.7053  1 V 1.86
F  0.3574  0.7327  0.5261  1 V 1.89
F  0.8574  0.2327  0.9739  1 V 1.89
F  0.8829  0.5501  0.7947  1 V 1.86
F  0.7632  0.9784  0.6131  1 V 1.91
F  0.7368  0.5216  0.1131  1 V 1.91
F  0.6171  0.9499  0.2947  1 V 1.86
F  0.6426  0.2673  0.4739  1 V 1.89

* mass density: 3.27 Mg/m³
* E: -5.16 eV/atom